Record 1
{"formula": "TbInHg3Te4", "functional": "GGA-PBE", "state": "optimized geometry", "lattice": [[7.029, 0.000, 0.000], [0.000, 8.476, 0.000], [-3.125, 0.000, 10.738]], "species": ["Te", "Hg", "Hg", "In", "Tb", "Hg", "Te", "Hg", "Te", "Hg", "Te", "Te", "Tb", "Te", "In", "Te", "Te", "Hg"], "fractional_positions": [[0.761, 0.510, 0.331], [0.693, 0.533, 0.067], [0.015, 0.750, 0.738], [0.829, 0.250, 0.572], [0.527, 0.750, 0.793], [0.693, 0.967, 0.067], [0.042, 0.250, 0.002], [0.307, 0.467, 0.933], [0.239, 0.490, 0.669], [0.985, 0.250, 0.262], [0.761, 0.990, 0.331], [0.352, 0.250, 0.440], [0.473, 0.250, 0.207], [0.648, 0.750, 0.560], [0.171, 0.750, 0.428], [0.958, 0.750, 0.998], [0.239, 0.010, 0.669], [0.307, 0.033, 0.933]], "polymorph_energy_mev_per_atom": 0, "e_tot_ev_per_atom": -2.62}


Record 2
{"formula": "InTc2Hg", "functional": "GGA-PBE", "state": "optimized geometry", "lattice": [[0.000, 3.274, 3.274], [3.274, 0.000, 3.274], [3.274, 3.274, 0.000]], "species": ["Tc", "Hg", "Tc", "In"], "fractional_positions": [[0.750, 0.750, 0.750], [0.250, 0.250, 0.250], [0.000, 0.000, 0.000], [0.500, 0.500, 0.500]], "e_tot_ev_per_atom": -5.34}


Record 3
{"formula": "InHgTe3", "functional": "GGA-PBE", "state": "optimized geometry", "lattice": [[-5.714, 1.829, 4.012], [1.634, -6.959, -0.991], [4.432, 0.152, 6.243]], "species": ["Hg", "Te", "Te", "In", "Te", "Hg", "Te", "Te", "Te", "In"], "fractional_positions": [[0.000, 0.000, 0.724], [0.618, 0.618, 0.756], [0.382, 0.382, 0.244], [0.667, 0.333, 0.500], [0.000, 0.618, 0.244], [0.000, 0.000, 0.276], [0.618, 0.000, 0.244], [0.382, 0.000, 0.756], [0.000, 0.382, 0.756], [0.333, 0.667, 0.500]], "e_tot_ev_per_atom": -2.56}


Record 4
{"formula": "In2HgTe", "functional": "GGA-PBE", "state": "optimized geometry", "lattice": [[3.490, -1.964, 3.688], [-1.709, -1.097, 5.051], [-0.424, -5.165, 1.669]], "species": ["In", "In", "Hg", "Te"], "fractional_positions": [[0.750, 0.750, 0.750], [0.000, 0.000, 0.000], [0.250, 0.250, 0.250], [0.500, 0.500, 0.500]], "e_tot_ev_per_atom": -2.22}


Record 5
{"formula": "InHg3Te4W", "functional": "GGA-PBE", "state": "optimized geometry", "lattice": [[-2.795, -6.793, -1.681], [5.876, -1.295, -4.536], [3.801, -2.993, 5.778]], "species": ["Te", "W", "Hg", "Hg", "In", "Te", "Te", "Te", "Hg"], "fractional_positions": [[0.697, 0.697, 0.303], [0.500, 0.500, 0.500], [0.500, 0.500, 0.000], [0.500, 0.000, 0.500], [0.000, 0.000, 0.000], [0.697, 0.303, 0.697], [0.303, 0.697, 0.697], [0.303, 0.303, 0.303], [0.000, 0.500, 0.500]], "e_tot_ev_per_atom": -2.96}


Record 6
{"formula": "YInHgTe3", "functional": "GGA-PBE", "state": "optimized geometry", "lattice": [[12.950, 0.000, 0.000], [0.000, 4.541, 0.000], [0.000, 0.000, 13.331]], "species": ["In", "Hg", "Te", "Y", "Te", "Hg", "Te", "Te", "Y", "Te", "Te", "In", "Te", "Te", "Te", "Hg", "Y", "In", "Te", "Te", "Te", "In", "Hg", "Y"], "fractional_positions": [[0.326, 0.500, 0.495], [0.255, 0.000, 0.304], [0.083, 0.000, 0.433], [0.531, 0.000, 0.815], [0.234, 0.500, 0.168], [0.745, 0.500, 0.696], [0.266, 0.000, 0.668], [0.583, 0.000, 0.067], [0.969, 0.500, 0.315], [0.972, 0.000, 0.150], [0.917, 0.500, 0.567], [0.826, 0.500, 0.005], [0.766, 0.000, 0.832], [0.472, 0.000, 0.350], [0.528, 0.500, 0.650], [0.245, 0.500, 0.804], [0.469, 0.500, 0.185], [0.674, 0.000, 0.505], [0.734, 0.500, 0.332], [0.417, 0.500, 0.933], [0.028, 0.500, 0.850], [0.174, 0.000, 0.995], [0.755, 0.000, 0.196], [0.031, 0.000, 0.685]], "polymorph_energy_mev_per_atom": 76, "e_tot_ev_per_atom": -3.77}


Record 7
{"formula": "YInHgTe3", "functional": "GGA-PBE", "state": "optimized geometry", "lattice": [[2.198, -7.964, 0.000], [2.198, 7.964, 0.000], [0.000, 0.000, 11.855]], "species": ["Te", "In", "Te", "Te", "Te", "Hg", "Te", "Y", "Hg", "Te", "In", "Y"], "fractional_positions": [[0.931, 0.069, 0.250], [0.448, 0.552, 0.750], [0.365, 0.635, 0.957], [0.635, 0.365, 0.043], [0.365, 0.635, 0.543], [0.255, 0.745, 0.250], [0.635, 0.365, 0.457], [0.000, 0.000, 0.500], [0.745, 0.255, 0.750], [0.069, 0.931, 0.750], [0.552, 0.448, 0.250], [0.000, 0.000, 0.000]], "polymorph_energy_mev_per_atom": 0, "e_tot_ev_per_atom": -3.84}


Record 8
{"formula": "YInHgTe3", "functional": "GGA-PBE", "state": "optimized geometry", "lattice": [[-8.199, 4.300, -3.535], [-9.663, 2.201, -0.023], [3.625, 6.806, 5.578]], "species": ["Y", "Y", "Te", "Hg", "In", "Te", "In", "Te", "Te", "Te", "Hg", "Te"], "fractional_positions": [[0.173, 0.173, 0.091], [0.827, 0.827, 0.909], [0.500, 0.500, 0.500], [0.539, 0.539, 0.222], [0.132, 0.132, 0.581], [0.334, 0.334, 0.139], [0.868, 0.868, 0.419], [0.000, 0.000, 0.000], [0.307, 0.307, 0.670], [0.693, 0.693, 0.330], [0.461, 0.461, 0.778], [0.666, 0.666, 0.861]], "polymorph_energy_mev_per_atom": 62, "e_tot_ev_per_atom": -3.78}